# Rb2PbF7, optimized geometry, DFT PBE
# space group	I4/mmm
# formation energy from raw total energies	-2.045	eV per atom
# theoretical density	4.215	g cm⁻³
data_Rb2PbF7
_chemical_formula_sum 'Rb2 Pb1 F7'
_symmetry_space_group_name_H-M 'P 1'
_symmetry_Int_Tables_number 1
_cell_length_a 6.640
_cell_length_b 6.640
_cell_length_c 6.640
_cell_angle_alpha 121.72
_cell_angle_beta 121.72
_cell_angle_gamma 87.05
loop_
_symmetry_equiv_pos_as_xyz
'x,y,z'
loop_
_atom_site_label
_atom_site_type_symbol
_atom_site_fract_x
_atom_site_fract_y
_atom_site_fract_z
Rb1 Rb 0.250 0.750 0.500
Rb2 Rb 0.750 0.250 0.500
Pb1 Pb 0.000 0.000 0.000
F1 F 0.218 0.218 0.000
F2 F 0.229 0.229 0.459
F3 F 0.229 0.771 0.000
F4 F 0.500 0.500 0.000
F5 F 0.771 0.229 0.000
F6 F 0.771 0.771 0.541
F7 F 0.782 0.782 0.000